[1]
LuZrAlGa: relaxed, PBE-GGA.

Unit cell a=4.874 b=4.874 c=4.874 alpha=60.00 beta=60.00 gamma=60.00
Positions (direct):
Al  0.750  0.750  0.750
Lu  0.000  0.000  0.000
Ga  0.250  0.250  0.250
Zr  0.500  0.500  0.500


[2]
Mg2Al9Ga: relaxed, PBE-GGA.

Unit cell a=4.106 b=4.106 c=12.432 alpha=90.00 beta=90.00 gamma=90.00
Positions (direct):
Al  0.500  0.500  0.670
Ga  0.000  0.000  0.000
Al  0.500  0.000  0.162
Al  0.000  0.500  0.838
Al  0.000  0.500  0.162
Al  0.500  0.000  0.500
Al  0.500  0.000  0.838
Al  0.000  0.500  0.500
Al  0.500  0.500  0.000
Al  0.500  0.500  0.330
Mg  0.000  0.000  0.331
Mg  0.000  0.000  0.669


[3]
MgAl3Ga: relaxed, PBE-GGA.

Unit cell a=3.982 b=5.996 c=8.609 alpha=90.00 beta=90.00 gamma=109.36
Positions (direct):
Mg  0.150  0.300  0.250
Ga  0.000  0.000  0.000
Al  0.340  0.678  0.491
Ga  0.000  0.000  0.500
Al  0.159  0.316  0.750
Mg  0.850  0.700  0.750
Al  0.660  0.322  0.509
Al  0.841  0.684  0.250
Al  0.340  0.678  0.009
Al  0.660  0.322  0.991


[4]
MgAl2Ga2: relaxed, PBE-GGA.

Unit cell a=7.480 b=7.480 c=4.966 alpha=107.55 beta=107.55 gamma=121.98
Positions (direct):
Ga  0.262  0.738  0.750
Mg  0.153  0.847  0.250
Al  0.298  0.184  0.989
Al  0.702  0.816  0.011
Al  0.184  0.298  0.489
Mg  0.847  0.153  0.750
Ga  0.378  0.622  0.250
Al  0.816  0.702  0.511
Ga  0.738  0.262  0.250
Ga  0.622  0.378  0.750


[5]
Mg6Al3Ga: relaxed, PBE-GGA.

Unit cell a=7.238 b=5.814 c=5.814 alpha=62.38 beta=76.99 gamma=76.99
Positions (direct):
Ga  0.500  0.500  0.500
Mg  0.305  0.098  0.596
Al  0.324  0.101  0.101
Al  0.000  0.000  0.000
Al  0.676  0.899  0.899
Mg  0.695  0.404  0.902
Mg  0.305  0.596  0.098
Mg  0.918  0.351  0.351
Mg  0.695  0.902  0.404
Mg  0.082  0.649  0.649


[6]
Mg2AlGa: relaxed, PBE-GGA.

Unit cell a=4.223 b=5.461 c=7.787 alpha=113.25 beta=90.00 gamma=90.00
Positions (direct):
Ga  0.750  0.639  0.795
Mg  0.250  0.779  0.584
Mg  0.750  0.221  0.416
Ga  0.250  0.361  0.205
Al  0.750  0.662  0.288
Mg  0.250  0.809  0.076
Al  0.250  0.338  0.712
Mg  0.750  0.191  0.924


[7]
Mg2Al2Ga3: relaxed, PBE-GGA.

Unit cell a=3.166 b=5.741 c=8.729 alpha=59.65 beta=80.36 gamma=74.89
Positions (direct):
Al  0.454  0.371  0.723
Mg  0.288  0.264  0.166
Ga  0.000  0.000  0.000
Mg  0.712  0.736  0.834
Ga  0.132  0.192  0.530
Ga  0.868  0.808  0.470
Al  0.546  0.629  0.277


[8]
Mg5AlGa4: relaxed, PBE-GGA.

Unit cell a=3.337 b=3.337 c=17.424 alpha=90.00 beta=90.00 gamma=90.00
Positions (direct):
Mg  0.500  0.500  0.500
Mg  0.500  0.500  0.698
Ga  0.000  0.000  0.201
Ga  0.000  0.000  0.599
Mg  0.500  0.500  0.103
Ga  0.000  0.000  0.799
Al  0.000  0.000  0.000
Ga  0.000  0.000  0.401
Mg  0.500  0.500  0.897
Mg  0.500  0.500  0.302


[9]
Mg5AlGa2: relaxed, PBE-GGA.

Unit cell a=3.365 b=7.529 c=13.628 alpha=90.00 beta=90.00 gamma=102.91
Positions (direct):
Al  0.243  0.486  0.250
Mg  0.595  0.190  0.561
Ga  0.260  0.521  0.587
Mg  0.902  0.804  0.250
Mg  0.405  0.810  0.061
Mg  0.405  0.810  0.439
Mg  0.923  0.846  0.866
Ga  0.260  0.521  0.913
Mg  0.077  0.154  0.134
Ga  0.740  0.479  0.087
Mg  0.923  0.846  0.634
Mg  0.595  0.190  0.939
Al  0.757  0.514  0.750
Mg  0.098  0.196  0.750
Ga  0.740  0.479  0.413
Mg  0.077  0.154  0.366


[10]
MgAl3Ga: relaxed, PBE-GGA.

Unit cell a=4.920 b=4.920 c=4.920 alpha=90.00 beta=90.00 gamma=90.00
Positions (direct):
Mg  0.500  0.500  0.500
Ga  0.000  0.000  0.000
Al  0.500  0.000  0.000
Al  0.000  0.500  0.000
Al  0.000  0.000  0.500


[11]
Mg2AlGa4: relaxed, PBE-GGA.

Unit cell a=9.255 b=9.255 c=9.255 alpha=60.00 beta=60.00 gamma=60.00
Positions (direct):
Ga  0.228  0.772  0.772
Mg  0.844  0.844  0.468
Mg  0.406  0.406  0.406
Ga  0.228  0.772  0.228
Mg  0.782  0.406  0.406
Mg  0.844  0.468  0.844
Al  0.125  0.125  0.125
Ga  0.478  0.022  0.022
Mg  0.406  0.782  0.406
Ga  0.125  0.625  0.625
Ga  0.478  0.478  0.022
Mg  0.844  0.844  0.844
Mg  0.468  0.844  0.844
Ga  0.022  0.478  0.478
Ga  0.625  0.625  0.625
Al  0.125  0.625  0.125
Ga  0.022  0.022  0.478
Ga  0.228  0.228  0.772
Mg  0.406  0.406  0.782
Ga  0.478  0.022  0.478
Al  0.625  0.125  0.125
Ga  0.772  0.772  0.228
Ga  0.772  0.228  0.228
Ga  0.022  0.478  0.022
Al  0.125  0.125  0.625
Ga  0.772  0.228  0.772
Ga  0.625  0.125  0.625
Ga  0.625  0.625  0.125


[12]
Mg2AlGa6: relaxed, PBE-GGA.

Unit cell a=2.966 b=8.251 c=8.251 alpha=122.20 beta=90.00 gamma=90.00
Positions (direct):
Ga  0.000  0.199  0.905
Ga  0.000  0.905  0.199
Mg  0.000  0.575  0.260
Al  0.500  0.202  0.202
Mg  0.000  0.260  0.575
Ga  0.000  0.835  0.835
Ga  0.500  0.931  0.547
Ga  0.500  0.546  0.546
Ga  0.500  0.547  0.931


Calculated DOS(E_F) in order - 0.76, 0.20, 0.35, 0.34, 0.38, 0.30, 0.28, 0.33, 0.36, 0.35, 0.46, 0.42 states/eV per atom
Calculated energy relative to the elements in order - -8.3, 0.1, 1.3, -0.2, 1.2, -1.0, -0.5, -2.2, -0.2, 12.2, -0.2, -0.6 kcal/mol of atoms